A.
# MnBeAg | Alexandria via LeMat-Bulk | PBE | optimized geometry
data_MnBeAg
_cell_length_a 5.562
_cell_length_b 5.562
_cell_length_c 5.562
_cell_angle_alpha 90.00
_cell_angle_beta 90.00
_cell_angle_gamma 90.00
_space_group_name_H-M_alt 'F -4 3 m'
_space_group_IT_number 216
_space_group_name_Hall 'F -4 2 3'
loop_
_atom_site_label
_atom_site_type_symbol
_atom_site_fract_x
_atom_site_fract_y
_atom_site_fract_z
Mn1 Mn 0.000 0.000 0.000
Be1 Be 0.250 0.250 0.750
Ag1 Ag 0.000 0.000 0.500
# N(E_F) (states/eV/cell): 5.65
# Volume (A^3/atom): 14.34
# Magnetic moment (μB per formula unit): 2.943

***

B.
# MnBeAg | Alexandria via LeMat-Bulk | PBE | optimized geometry
data_MnBeAg
_cell_length_a 2.8056
_cell_length_b 2.8056
_cell_length_c 6.0659
_cell_angle_alpha 90.00
_cell_angle_beta 90.00
_cell_angle_gamma 120.00
_space_group_name_H-M_alt 'P 3 m 1'
_space_group_IT_number 156
loop_
_space_group_symop_operation_xyz
'x,y,z'
'-y,x-y,z'
'-x+y,-x,z'
'-y,-x,z'
'-x+y,y,z'
'x,x-y,z'
loop_
_atom_site_label
_atom_site_type_symbol
_atom_site_fract_x
_atom_site_fract_y
_atom_site_fract_z
Mn1 Mn 0.0000 0.0000 0.0000
Be1 Be 0.3333 0.6667 0.7096
Ag1 Ag 0.6667 0.3333 0.3895
# N(E_F) (states/eV/cell): 2.19
# Volume (A^3/atom): 13.78
# Magnetic moment (μB per formula unit): 3.468

***

Most stable of them? B.

***

A.
# MnBeAg3 | Alexandria via LeMat-Bulk | PBE | optimized geometry
data_MnBeAg3
_cell_length_a 4.425
_cell_length_b 4.425
_cell_length_c 4.425
_cell_angle_alpha 90.00
_cell_angle_beta 90.00
_cell_angle_gamma 90.00
_space_group_name_H-M_alt 'P m -3 m'
_space_group_IT_number 221
_space_group_name_Hall '-P 4 2 3'
loop_
_atom_site_label
_atom_site_type_symbol
_atom_site_fract_x
_atom_site_fract_y
_atom_site_fract_z
Mn1 Mn 0.000 0.000 0.000
Be1 Be 0.500 0.500 0.500
Ag1 Ag 0.000 0.500 0.500
# N(E_F) (states/eV/cell): 2.16
# Volume (A^3/atom): 17.32
# Magnetic moment (μB per formula unit): 4.270

***

B.
# MnBeAg3 | Alexandria via LeMat-Bulk | PBE | optimized geometry
data_MnBeAg3
_cell_length_a 4.913
_cell_length_b 4.913
_cell_length_c 4.913
_cell_angle_alpha 90.00
_cell_angle_beta 90.00
_cell_angle_gamma 90.00
_space_group_name_H-M_alt 'P m -3 m'
_space_group_IT_number 221
_space_group_name_Hall '-P 4 2 3'
loop_
_atom_site_label
_atom_site_type_symbol
_atom_site_fract_x
_atom_site_fract_y
_atom_site_fract_z
Mn1 Mn 0.000 0.000 0.000
Be1 Be 0.500 0.500 0.500
Ag1 Ag 0.000 0.000 0.500
# N(E_F) (states/eV/cell): 2.99
# Volume (A^3/atom): 23.71
# Magnetic moment (μB per formula unit): 4.434

***

Most stable of them? A.

***

A.
# Be2Ag2Mo | Alexandria via LeMat-Bulk | PBE | optimized geometry
data_Be2Ag2Mo
_cell_length_a 6.982
_cell_length_b 6.982
_cell_length_c 2.745
_cell_angle_alpha 90.00
_cell_angle_beta 90.00
_cell_angle_gamma 90.00
_space_group_name_H-M_alt 'P 4/m b m'
_space_group_IT_number 127
_space_group_name_Hall '-P 4 2ab'
loop_
_atom_site_label
_atom_site_type_symbol
_atom_site_fract_x
_atom_site_fract_y
_atom_site_fract_z
Be1 Be 0.149 0.351 0.000
Ag1 Ag 0.151 0.651 0.500
Mo1 Mo 0.000 0.000 0.000
# N(E_F) (states/eV/cell): 6.46
# Volume (A^3/atom): 13.38
# Magnetic moment (μB per formula unit): 0.000

***

B.
# Be2Ag2Mo | Alexandria via LeMat-Bulk | PBE | optimized geometry
data_Be2Ag2Mo
_cell_length_a 3.655
_cell_length_b 3.655
_cell_length_c 10.398
_cell_angle_alpha 90.00
_cell_angle_beta 90.00
_cell_angle_gamma 90.00
_space_group_name_H-M_alt 'I 4/m m m'
_space_group_IT_number 139
_space_group_name_Hall '-I 4 2'
loop_
_atom_site_label
_atom_site_type_symbol
_atom_site_fract_x
_atom_site_fract_y
_atom_site_fract_z
Be1 Be 0.000 0.000 0.094
Ag1 Ag 0.000 0.500 0.250
Mo1 Mo 0.000 0.000 0.500
# N(E_F) (states/eV/cell): 5.88
# Volume (A^3/atom): 13.89
# Magnetic moment (μB per formula unit): 0.000

***

Most stable of them? A.

***

A.
# BeAgMo3 | Alexandria via LeMat-Bulk | PBE | optimized geometry
data_BeAgMo3
_cell_length_a 4.257
_cell_length_b 4.257
_cell_length_c 4.257
_cell_angle_alpha 90.00
_cell_angle_beta 90.00
_cell_angle_gamma 90.00
_space_group_name_H-M_alt 'P m -3 m'
_space_group_IT_number 221
_space_group_name_Hall '-P 4 2 3'
loop_
_atom_site_label
_atom_site_type_symbol
_atom_site_fract_x
_atom_site_fract_y
_atom_site_fract_z
Be1 Be 0.000 0.000 0.000
Ag1 Ag 0.500 0.500 0.500
Mo1 Mo 0.000 0.000 0.500
# N(E_F) (states/eV/cell): 4.02
# Volume (A^3/atom): 15.43
# Magnetic moment (μB per formula unit): 0.000

***

B.
# BeAgMo3 | Alexandria via LeMat-Bulk | PBE | optimized geometry
data_BeAgMo3
_cell_length_a 4.774
_cell_length_b 4.774
_cell_length_c 4.774
_cell_angle_alpha 90.00
_cell_angle_beta 90.00
_cell_angle_gamma 90.00
_space_group_name_H-M_alt 'P m -3 m'
_space_group_IT_number 221
_space_group_name_Hall '-P 4 2 3'
loop_
_atom_site_label
_atom_site_type_symbol
_atom_site_fract_x
_atom_site_fract_y
_atom_site_fract_z
Be1 Be 0.000 0.000 0.000
Ag1 Ag 0.500 0.500 0.500
Mo1 Mo 0.000 0.500 0.500
# N(E_F) (states/eV/cell): 4.36
# Volume (A^3/atom): 21.76
# Magnetic moment (μB per formula unit): 0.000

***

Most stable of them? A.

***

A.
# BeAg2N | Alexandria via LeMat-Bulk | PBE | optimized geometry
data_BeAg2N
_cell_length_a 3.849
_cell_length_b 3.849
_cell_length_c 15.303
_cell_angle_alpha 90.00
_cell_angle_beta 90.00
_cell_angle_gamma 90.00
_space_group_name_H-M_alt 'I -4 2 d'
_space_group_IT_number 122
_space_group_name_Hall 'I -4 2bw'
loop_
_atom_site_label
_atom_site_type_symbol
_atom_site_fract_x
_atom_site_fract_y
_atom_site_fract_z
Be1 Be 0.000 0.000 0.000
Ag1 Ag 0.240 0.250 0.625
N1 N 0.000 0.000 0.500
# N(E_F) (states/eV/cell): 4.58
# Volume (A^3/atom): 14.17
# Magnetic moment (μB per formula unit): 0.000

***

B.
# BeAg2N | Alexandria via LeMat-Bulk | PBE | optimized geometry
data_BeAg2N
_cell_length_a 5.870
_cell_length_b 5.870
_cell_length_c 5.870
_cell_angle_alpha 90.00
_cell_angle_beta 90.00
_cell_angle_gamma 90.00
_space_group_name_H-M_alt 'F m -3 m'
_space_group_IT_number 225
_space_group_name_Hall '-F 4 2 3'
loop_
_atom_site_label
_atom_site_type_symbol
_atom_site_fract_x
_atom_site_fract_y
_atom_site_fract_z
Be1 Be 0.000 0.000 0.000
Ag1 Ag 0.250 0.250 0.250
N1 N 0.000 0.000 0.500
# N(E_F) (states/eV/cell): 12.18
# Volume (A^3/atom): 12.64
# Magnetic moment (μB per formula unit): 0.001

***

Most stable of them? B.

***

A.
# BeAgSN2 | Alexandria via LeMat-Bulk | PBE | optimized geometry
data_BeAgSN2
_cell_length_a 3.924
_cell_length_b 3.924
_cell_length_c 5.537
_cell_angle_alpha 90.00
_cell_angle_beta 90.00
_cell_angle_gamma 90.00
_space_group_name_H-M_alt 'P 4/m m m'
_space_group_IT_number 123
_space_group_name_Hall '-P 4 2'
loop_
_atom_site_label
_atom_site_type_symbol
_atom_site_fract_x
_atom_site_fract_y
_atom_site_fract_z
Be1 Be 0.000 0.000 0.000
Ag1 Ag 0.500 0.500 0.500
S1 S 0.500 0.500 0.000
N1 N 0.000 0.500 0.500
# N(E_F) (states/eV/cell): 1.84
# Volume (A^3/atom): 17.05
# Magnetic moment (μB per formula unit): 3.097

***

B.
# BeAgSN2 | Alexandria via LeMat-Bulk | PBE | optimized geometry
data_BeAgSN2
_cell_length_a 3.473
_cell_length_b 3.473
_cell_length_c 5.661
_cell_angle_alpha 90.00
_cell_angle_beta 90.00
_cell_angle_gamma 90.00
_space_group_name_H-M_alt 'P 4/m m m'
_space_group_IT_number 123
_space_group_name_Hall '-P 4 2'
loop_
_atom_site_label
_atom_site_type_symbol
_atom_site_fract_x
_atom_site_fract_y
_atom_site_fract_z
Be1 Be 0.000 0.000 0.000
Ag1 Ag 0.500 0.500 0.500
S1 S 0.000 0.000 0.500
N1 N 0.000 0.500 0.000
# N(E_F) (states/eV/cell): 1.83
# Volume (A^3/atom): 13.65
# Magnetic moment (μB per formula unit): 2.308

***

Most stable of them? B.

***

A.
# ScBe2AgN | Alexandria via LeMat-Bulk | PBE | optimized geometry
data_ScBe2AgN
_cell_length_a 4.068
_cell_length_b 4.068
_cell_length_c 5.363
_cell_angle_alpha 90.00
_cell_angle_beta 90.00
_cell_angle_gamma 90.00
_space_group_name_H-M_alt 'P 4/m m m'
_space_group_IT_number 123
_space_group_name_Hall '-P 4 2'
loop_
_atom_site_label
_atom_site_type_symbol
_atom_site_fract_x
_atom_site_fract_y
_atom_site_fract_z
Sc1 Sc 0.000 0.000 0.000
Be1 Be 0.000 0.500 0.500
Ag1 Ag 0.000 0.000 0.500
N1 N 0.500 0.500 0.000
# N(E_F) (states/eV/cell): 2.68
# Volume (A^3/atom): 17.75
# Magnetic moment (μB per formula unit): 0.000

***

B.
# ScBe2AgN | Alexandria via LeMat-Bulk | PBE | optimized geometry
data_ScBe2AgN
_cell_length_a 4.149
_cell_length_b 4.149
_cell_length_c 4.472
_cell_angle_alpha 90.00
_cell_angle_beta 90.00
_cell_angle_gamma 90.00
_space_group_name_H-M_alt 'P 4/m m m'
_space_group_IT_number 123
_space_group_name_Hall '-P 4 2'
loop_
_atom_site_label
_atom_site_type_symbol
_atom_site_fract_x
_atom_site_fract_y
_atom_site_fract_z
Sc1 Sc 0.000 0.000 0.000
Be1 Be 0.000 0.500 0.500
Ag1 Ag 0.500 0.500 0.500
N1 N 0.500 0.500 0.000
# N(E_F) (states/eV/cell): 3.13
# Volume (A^3/atom): 15.40
# Magnetic moment (μB per formula unit): 0.000

***

Most stable of them? B.

***

A.
# BeAgTe2N | Alexandria via LeMat-Bulk | PBE | optimized geometry
data_BeAgTe2N
_cell_length_a 5.566
_cell_length_b 5.566
_cell_length_c 3.873
_cell_angle_alpha 90.00
_cell_angle_beta 90.00
_cell_angle_gamma 90.00
_space_group_name_H-M_alt 'P 4/m m m'
_space_group_IT_number 123
_space_group_name_Hall '-P 4 2'
loop_
_atom_site_label
_atom_site_type_symbol
_atom_site_fract_x
_atom_site_fract_y
_atom_site_fract_z
Be1 Be 0.000 0.000 0.000
Ag1 Ag 0.500 0.500 0.500
Te1 Te 0.000 0.500 0.500
N1 N 0.500 0.500 0.000
# N(E_F) (states/eV/cell): 4.01
# Volume (A^3/atom): 24.00
# Magnetic moment (μB per formula unit): 1.172

***

B.
# BeAgTe2N | Alexandria via LeMat-Bulk | PBE | optimized geometry
data_BeAgTe2N
_cell_length_a 5.596
_cell_length_b 5.596
_cell_length_c 3.088
_cell_angle_alpha 90.00
_cell_angle_beta 90.00
_cell_angle_gamma 90.00
_space_group_name_H-M_alt 'P 4/m m m'
_space_group_IT_number 123
_space_group_name_Hall '-P 4 2'
loop_
_atom_site_label
_atom_site_type_symbol
_atom_site_fract_x
_atom_site_fract_y
_atom_site_fract_z
Be1 Be 0.000 0.000 0.000
Ag1 Ag 0.500 0.500 0.500
Te1 Te 0.000 0.500 0.000
N1 N 0.000 0.000 0.500
# N(E_F) (states/eV/cell): 2.83
# Volume (A^3/atom): 19.35
# Magnetic moment (μB per formula unit): 0.000

***

Most stable of them? B.